Record 1
Li2Zn5Rh | PBE | optimized geometry

Cell: 3.808 3.808 15.845 Å, 90.00 90.00 90.00°
Space group I4/mmm (No. 139)
Inequivalent atoms, fractional coordinates:
1 Li 0.000 0.000 0.245 x4
2 Zn 0.000 0.000 0.500 x2
3 Zn 0.000 0.500 0.123 x8
4 Rh 0.000 0.000 0.000 x2

Values from the calculation:
The total magnetic moment is 0.000 μB/atom. The raw total energy is -0.0896 Ha/atom.



Record 2
InSiCl | PBE | optimized geometry

Cell: 6.756 6.756 6.756 Å, 90.00 90.00 90.00°
Space group F-43m (No. 216)
Inequivalent atoms, fractional coordinates:
1 In 0.000 0.000 0.000 x4
2 Si 0.250 0.250 0.750 x4
3 Cl 0.000 0.000 0.500 x4

Values from the calculation:
The total magnetic moment is 0.004 μB/atom. The raw total energy is -0.1106 Ha/atom.



Record 3
Na2GeB2Rh5 | PBE | optimized geometry

Cell: 9.598 9.598 2.890 Å, 90.00 90.00 90.00°
Space group P4/mbm (No. 127)
Inequivalent atoms, fractional coordinates:
1 Na 0.176 0.324 0.000 x4
2 Ge 0.000 0.000 0.000 x2
3 B 0.125 0.625 0.000 x4
4 Rh 0.000 0.500 0.500 x2
5 Rh 0.068 0.784 0.500 x8

Values from the calculation:
The total magnetic moment is 0.000 μB/atom. The raw total energy is -0.2225 Ha/atom.